Run i
This record from the Alexandria database describes an optimized crystal structure of MgBAs3. The functional is PBE.

## Properties
SG	Pm-3m, No. 221
M_tot	0.0	Bohr magnetons per cell
V	121.3	Å³/cell

Lattice parameters (Å, degrees): 4.950 4.950 4.950 90.00 90.00 90.00
Atoms (fractional coordinates):
Mg  0.000  0.000  0.000
B  0.500  0.500  0.500
As  0.000  0.000  0.500
As  0.000  0.500  0.000
As  0.500  0.000  0.000

=====

Run ii
This record from the Alexandria database describes an optimized crystal structure of MgBAs3. The functional is PBE.

## Properties
SG	Pm-3m, No. 221
M_tot	0.0	Bohr magnetons per cell
V	90.5	Å³/cell

Lattice parameters (Å, degrees): 4.490 4.490 4.490 90.00 90.00 90.00
Atoms (fractional coordinates):
Mg  0.000  0.000  0.000
B  0.500  0.500  0.500
As  0.000  0.500  0.500
As  0.500  0.000  0.500
As  0.500  0.500  0.000

=====

So which one wins? Going from most stable to least: run ii, run i.

=====

Run i
This record from the Alexandria database describes an optimized crystal structure of Mn2BAs. The functional is PBE.

## Properties
SG	I-42d, No. 122
M_tot	18.7	Bohr magnetons per cell
V	247.7	Å³/cell

Lattice parameters (Å, degrees): 4.986 4.986 9.962 90.00 90.00 90.00
Atoms (fractional coordinates):
Mn  0.175  0.250  0.125
Mn  0.250  0.675  0.375
Mn  0.250  0.825  0.875
Mn  0.325  0.250  0.625
Mn  0.675  0.750  0.625
Mn  0.750  0.175  0.875
Mn  0.750  0.325  0.375
Mn  0.825  0.750  0.125
B  0.000  0.000  0.000
B  0.000  0.500  0.250
B  0.500  0.000  0.750
B  0.500  0.500  0.500
As  0.000  0.000  0.500
As  0.000  0.500  0.750
As  0.500  0.000  0.250
As  0.500  0.500  0.000

=====

Run ii
This record from the Alexandria database describes an optimized crystal structure of Mn2BAs. The functional is PBE.

## Properties
SG	Fm-3m, No. 225
M_tot	6.5	Bohr magnetons per cell
V	167.4	Å³/cell

Lattice parameters (Å, degrees): 5.511 5.511 5.511 90.00 90.00 90.00
Atoms (fractional coordinates):
Mn  0.250  0.250  0.250
Mn  0.250  0.250  0.750
Mn  0.250  0.750  0.250
Mn  0.250  0.750  0.750
Mn  0.750  0.250  0.250
Mn  0.750  0.250  0.750
Mn  0.750  0.750  0.250
Mn  0.750  0.750  0.750
B  0.000  0.000  0.000
B  0.000  0.500  0.500
B  0.500  0.000  0.500
B  0.500  0.500  0.000
As  0.000  0.000  0.500
As  0.000  0.500  0.000
As  0.500  0.000  0.000
As  0.500  0.500  0.500

=====

So which one wins? Going from most stable to least: run ii, run i.

=====

Run i
This record from the Alexandria database describes an optimized crystal structure of MnB3As. The functional is PBE.

## Properties
SG	Pm-3m, No. 221
M_tot	0.0	Bohr magnetons per cell
V	58.1	Å³/cell

Lattice parameters (Å, degrees): 3.872 3.872 3.872 90.00 90.00 90.00
Atoms (fractional coordinates):
Mn  0.000  0.000  0.000
B  0.000  0.000  0.500
B  0.000  0.500  0.000
B  0.500  0.000  0.000
As  0.500  0.500  0.500

=====

Run ii
This record from the Alexandria database describes an optimized crystal structure of MnB3As. The functional is PBE.

## Properties
SG	Pm-3m, No. 221
M_tot	0.3	Bohr magnetons per cell
V	65.6	Å³/cell

Lattice parameters (Å, degrees): 4.032 4.032 4.032 90.00 90.00 90.00
Atoms (fractional coordinates):
Mn  0.000  0.000  0.000
B  0.000  0.500  0.500
B  0.500  0.000  0.500
B  0.500  0.500  0.000
As  0.500  0.500  0.500

=====

So which one wins? Going from most stable to least: run i, run ii.

=====

Run i
This record from the Alexandria database describes an optimized crystal structure of MnBAsS2. The functional is PBE.

## Properties
SG	P4/mmm, No. 123
M_tot	0.0	Bohr magnetons per cell
V	71.5	Å³/cell

Lattice parameters (Å, degrees): 4.110 4.110 4.231 90.00 90.00 90.00
Atoms (fractional coordinates):
Mn  0.000  0.000  0.000
B  0.500  0.500  0.500
As  0.500  0.500  0.000
S  0.000  0.500  0.500
S  0.500  0.000  0.500

=====

Run ii
This record from the Alexandria database describes an optimized crystal structure of MnBAsS2. The functional is PBE.

## Properties
SG	P4/mmm, No. 123
M_tot	0.0	Bohr magnetons per cell
V	77.0	Å³/cell

Lattice parameters (Å, degrees): 4.512 4.512 3.781 90.00 90.00 90.00
Atoms (fractional coordinates):
Mn  0.000  0.000  0.000
B  0.000  0.000  0.500
As  0.500  0.500  0.500
S  0.000  0.500  0.000
S  0.500  0.000  0.000

=====

So which one wins? Going from most stable to least: run ii, run i.

=====

Run i
This record from the Alexandria database describes an optimized crystal structure of MnBAs2Se. The functional is PBE.

## Properties
SG	P4/mmm, No. 123
M_tot	0.0	Bohr magnetons per cell
V	80.6	Å³/cell

Lattice parameters (Å, degrees): 4.279 4.279 4.403 90.00 90.00 90.00
Atoms (fractional coordinates):
Mn  0.000  0.000  0.000
B  0.500  0.500  0.500
As  0.000  0.500  0.500
As  0.500  0.000  0.500
Se  0.500  0.500  0.000

=====

Run ii
This record from the Alexandria database describes an optimized crystal structure of MnBAs2Se. The functional is PBE.

## Properties
SG	P4/mmm, No. 123
M_tot	2.3	Bohr magnetons per cell
V	102.7	Å³/cell

Lattice parameters (Å, degrees): 4.579 4.579 4.898 90.00 90.00 90.00
Atoms (fractional coordinates):
Mn  0.000  0.000  0.000
B  0.500  0.500  0.500
As  0.000  0.500  0.000
As  0.500  0.000  0.000
Se  0.000  0.000  0.500

=====

So which one wins? Going from most stable to least: run i, run ii.

=====

Run i
This record from the Alexandria database describes an optimized crystal structure of BMo2As. The functional is PBE.

## Properties
SG	R3m, No. 160
M_tot	0.0	Bohr magnetons per cell
V	176.0	Å³/cell

Lattice parameters (Å, degrees): 3.143 3.143 20.572 90.00 90.00 120.00
Atoms (fractional coordinates):
B  0.000  0.000  0.000
B  0.333  0.667  0.667
B  0.667  0.333  0.333
Mo  0.000  0.000  0.278
Mo  0.000  0.000  0.729
Mo  0.333  0.667  0.395
Mo  0.333  0.667  0.944
Mo  0.667  0.333  0.062
Mo  0.667  0.333  0.611
As  0.000  0.000  0.153
As  0.333  0.667  0.820
As  0.667  0.333  0.486

=====

Run ii
This record from the Alexandria database describes an optimized crystal structure of BMo2As. The functional is PBE.

## Properties
SG	Cm, No. 8
M_tot	0.0	Bohr magnetons per cell
V	221.9	Å³/cell

Lattice parameters (Å, degrees): 13.917 3.199 5.322 90.00 110.50 90.00
Atoms (fractional coordinates):
B  0.000  0.000  0.000
B  0.004  0.000  0.655
B  0.500  0.500  0.000
B  0.504  0.500  0.655
Mo  0.034  0.500  0.353
Mo  0.110  0.500  0.925
Mo  0.376  0.500  0.220
Mo  0.389  0.000  0.706
Mo  0.534  0.000  0.353
Mo  0.610  0.000  0.925
Mo  0.876  0.000  0.220
Mo  0.889  0.500  0.706
As  0.236  0.500  0.434
As  0.247  0.000  0.894
As  0.736  0.000  0.434
As  0.747  0.500  0.894

=====

Run iii
This record from the Alexandria database describes an optimized crystal structure of BMo2As. The functional is PBE.

## Properties
SG	Cm, No. 8
M_tot	0.0	Bohr magnetons per cell
V	215.8	Å³/cell

Lattice parameters (Å, degrees): 10.775 3.169 6.415 90.00 99.87 90.00
Atoms (fractional coordinates):
B  0.000  0.000  0.000
B  0.154  0.000  0.923
B  0.500  0.500  0.000
B  0.654  0.500  0.923
Mo  0.144  0.500  0.164
Mo  0.275  0.500  0.780
Mo  0.376  0.000  0.120
Mo  0.498  0.000  0.739
Mo  0.644  0.000  0.164
Mo  0.775  0.000  0.780
Mo  0.876  0.500  0.120
Mo  0.998  0.500  0.739
As  0.128  0.000  0.513
As  0.360  0.500  0.432
As  0.628  0.500  0.513
As  0.860  0.000  0.432

=====

So which one wins? Going from most stable to least: run ii, run iii, run i.

=====

Run i
This record from the Alexandria database describes an optimized crystal structure of BMo2As. The functional is PBE.

## Properties
SG	Imm2, No. 44
M_tot	0.0	Bohr magnetons per cell
V	111.0	Å³/cell

Lattice parameters (Å, degrees): 3.136 3.212 11.022 90.00 90.00 90.00
Atoms (fractional coordinates):
B  0.000  0.000  0.000
B  0.500  0.500  0.500
Mo  0.000  0.000  0.433
Mo  0.000  0.500  0.652
Mo  0.500  0.000  0.152
Mo  0.500  0.500  0.933
As  0.000  0.500  0.254
As  0.500  0.000  0.754

=====

Run ii
This record from the Alexandria database describes an optimized crystal structure of BMo2As. The functional is PBE.

## Properties
SG	Pm, No. 6
M_tot	0.0	Bohr magnetons per cell
V	111.8	Å³/cell

Lattice parameters (Å, degrees): 5.247 3.174 6.714 90.00 91.22 90.00
Atoms (fractional coordinates):
B  0.000  0.000  0.000
B  0.350  0.000  0.999
Mo  0.160  0.500  0.780
Mo  0.183  0.500  0.205
Mo  0.672  0.000  0.748
Mo  0.679  0.500  0.062
As  0.325  0.000  0.493
As  0.815  0.500  0.468

=====

So which one wins? Going from most stable to least: run ii, run i.

=====

Run i
This record from the Alexandria database describes an optimized crystal structure of BMo2As. The functional is PBE.

## Properties
SG	I-42d, No. 122
M_tot	0.0	Bohr magnetons per cell
V	283.9	Å³/cell

Lattice parameters (Å, degrees): 5.074 5.074 11.025 90.00 90.00 90.00
Atoms (fractional coordinates):
B  0.000  0.000  0.000
B  0.000  0.500  0.250
B  0.500  0.000  0.750
B  0.500  0.500  0.500
Mo  0.176  0.250  0.125
Mo  0.250  0.676  0.375
Mo  0.250  0.824  0.875
Mo  0.324  0.250  0.625
Mo  0.676  0.750  0.625
Mo  0.750  0.176  0.875
Mo  0.750  0.324  0.375
Mo  0.824  0.750  0.125
As  0.000  0.000  0.500
As  0.000  0.500  0.750
As  0.500  0.000  0.250
As  0.500  0.500  0.000

=====

Run ii
This record from the Alexandria database describes an optimized crystal structure of BMo2As. The functional is PBE.

## Properties
SG	P1, No. 1
M_tot	0.0	Bohr magnetons per cell
V	111.7	Å³/cell

Lattice parameters (Å, degrees): 3.149 5.505 6.938 78.62 78.05 73.68
Atoms (fractional coordinates):
B  0.000  0.000  0.000
B  0.195  0.686  0.920
Mo  0.314  0.265  0.115
Mo  0.564  0.712  0.170
Mo  0.621  0.981  0.765
Mo  0.880  0.425  0.803
As  0.677  0.283  0.430
As  0.916  0.742  0.464

=====

So which one wins? Going from most stable to least: run ii, run i.

=====

Run i
This record from the Alexandria database describes an optimized crystal structure of BMo2As2. The functional is PBE.

## Properties
SG	I4/mmm, No. 139
M_tot	0.0	Bohr magnetons per cell
V	188.6	Å³/cell

Lattice parameters (Å, degrees): 3.713 3.713 13.677 90.00 90.00 90.00
Atoms (fractional coordinates):
B  0.000  0.000  0.000
B  0.500  0.500  0.500
Mo  0.000  0.500  0.250
Mo  0.000  0.500  0.750
Mo  0.500  0.000  0.250
Mo  0.500  0.000  0.750
As  0.000  0.000  0.387
As  0.000  0.000  0.613
As  0.500  0.500  0.113
As  0.500  0.500  0.887

=====

Run ii
This record from the Alexandria database describes an optimized crystal structure of BMo2As2. The functional is PBE.

## Properties
SG	P4/mbm, No. 127
M_tot	0.0	Bohr magnetons per cell
V	152.3	Å³/cell

Lattice parameters (Å, degrees): 6.789 6.789 3.303 90.00 90.00 90.00
Atoms (fractional coordinates):
B  0.000  0.000  0.000
B  0.500  0.500  0.000
Mo  0.154  0.346  0.500
Mo  0.346  0.846  0.500
Mo  0.654  0.154  0.500
Mo  0.846  0.654  0.500
As  0.147  0.647  0.000
As  0.353  0.147  0.000
As  0.647  0.853  0.000
As  0.853  0.353  0.000

=====

So which one wins? Going from most stable to least: run ii, run i.

=====

Run i
This record from the Alexandria database describes an optimized crystal structure of BMoAs2Se. The functional is PBE.

## Properties
SG	P4/mmm, No. 123
M_tot	2.5	Bohr magnetons per cell
V	84.1	Å³/cell

Lattice parameters (Å, degrees): 4.338 4.338 4.470 90.00 90.00 90.00
Atoms (fractional coordinates):
B  0.000  0.000  0.000
Mo  0.500  0.500  0.500
As  0.000  0.500  0.000
As  0.500  0.000  0.000
Se  0.000  0.000  0.500

=====

Run ii
This record from the Alexandria database describes an optimized crystal structure of BMoAs2Se. The functional is PBE.

## Properties
SG	P4/mmm, No. 123
M_tot	0.0	Bohr magnetons per cell
V	117.2	Å³/cell

Lattice parameters (Å, degrees): 4.904 4.904 4.874 90.00 90.00 90.00
Atoms (fractional coordinates):
B  0.000  0.000  0.000
Mo  0.500  0.500  0.500
As  0.000  0.500  0.500
As  0.500  0.000  0.500
Se  0.500  0.500  0.000

=====

So which one wins? Going from most stable to least: run i, run ii.

=====

Run i
This record from the Alexandria database describes an optimized crystal structure of TiBMoAs2. The functional is PBE.

## Properties
SG	P4/mmm, No. 123
M_tot	0.0	Bohr magnetons per cell
V	91.0	Å³/cell

Lattice parameters (Å, degrees): 4.781 4.781 3.980 90.00 90.00 90.00
Atoms (fractional coordinates):
Ti  0.000  0.000  0.000
B  0.000  0.000  0.500
Mo  0.500  0.500  0.500
As  0.000  0.500  0.000
As  0.500  0.000  0.000

=====

Run ii
This record from the Alexandria database describes an optimized crystal structure of TiBMoAs2. The functional is PBE.

## Properties
SG	P4/mmm, No. 123
M_tot	0.0	Bohr magnetons per cell
V	96.6	Å³/cell

Lattice parameters (Å, degrees): 4.890 4.890 4.042 90.00 90.00 90.00
Atoms (fractional coordinates):
Ti  0.000  0.000  0.000
B  0.500  0.500  0.000
Mo  0.500  0.500  0.500
As  0.000  0.500  0.500
As  0.500  0.000  0.500

=====

So which one wins? Going from most stable to least: run ii, run i.

=====

Run i
This record from the Alexandria database describes an optimized crystal structure of BAs2N. The functional is PBE.

## Properties
SG	Fm-3m, No. 225
M_tot	0.0	Bohr magnetons per cell
V	190.7	Å³/cell

Lattice parameters (Å, degrees): 5.756 5.756 5.756 90.00 90.00 90.00
Atoms (fractional coordinates):
B  0.000  0.000  0.000
B  0.000  0.500  0.500
B  0.500  0.000  0.500
B  0.500  0.500  0.000
As  0.250  0.250  0.250
As  0.250  0.250  0.750
As  0.250  0.750  0.250
As  0.250  0.750  0.750
As  0.750  0.250  0.250
As  0.750  0.250  0.750
As  0.750  0.750  0.250
As  0.750  0.750  0.750
N  0.000  0.000  0.500
N  0.000  0.500  0.000
N  0.500  0.000  0.000
N  0.500  0.500  0.500

=====

Run ii
This record from the Alexandria database describes an optimized crystal structure of BAs2N. The functional is PBE.

## Properties
SG	I-42d, No. 122
M_tot	0.0	Bohr magnetons per cell
V	231.4	Å³/cell

Lattice parameters (Å, degrees): 4.851 4.851 9.834 90.00 90.00 90.00
Atoms (fractional coordinates):
B  0.000  0.000  0.000
B  0.000  0.500  0.250
B  0.500  0.000  0.750
B  0.500  0.500  0.500
As  0.241  0.250  0.125
As  0.250  0.741  0.375
As  0.250  0.759  0.875
As  0.259  0.250  0.625
As  0.741  0.750  0.625
As  0.750  0.241  0.875
As  0.750  0.259  0.375
As  0.759  0.750  0.125
N  0.000  0.000  0.500
N  0.000  0.500  0.750
N  0.500  0.000  0.250
N  0.500  0.500  0.000

=====

So which one wins? Going from most stable to least: run ii, run i.